[1]
TbPrCuSn: relaxed, PBE.

Calculated values
The magnetic moment comes out at 0.00 μB per formula unit. The formation enthalpy at 0 K is -1.66 eV per formula unit. As for the symmetry: No. 216. The value obtained for the total DFT energy (no corrections) is -19.167 eV per cell. The crystal system is cubic.

Unit cell a=5.268 b=5.268 c=5.268 alpha=60.00 beta=60.00 gamma=60.00
Atoms (fractional coordinates):
Tb  0.000  0.000  0.000
Pr  0.500  0.500  0.500
Cu  0.250  0.250  0.250
Sn  0.750  0.750  0.750

=====

[2]
PrThCuSn: relaxed, PBE.

Calculated values
The magnetic moment comes out at 0.00 μB per formula unit. The formation enthalpy at 0 K is -1.14 eV per formula unit. As for the symmetry: No. 216. The value obtained for the total DFT energy (no corrections) is -21.436 eV per cell. The crystal system is cubic.

Unit cell a=5.327 b=5.327 c=5.327 alpha=60.00 beta=60.00 gamma=60.00
Atoms (fractional coordinates):
Pr  0.000  0.000  0.000
Th  0.500  0.500  0.500
Cu  0.250  0.250  0.250
Sn  0.750  0.750  0.750

=====

[3]
PrTmCuSn: relaxed, PBE.

Calculated values
The magnetic moment comes out at 0.00 μB per formula unit. The formation enthalpy at 0 K is -1.58 eV per formula unit. As for the symmetry: No. 216. The value obtained for the total DFT energy (no corrections) is -18.934 eV per cell. The crystal system is cubic.

Unit cell a=5.225 b=5.225 c=5.225 alpha=60.00 beta=60.00 gamma=60.00
Atoms (fractional coordinates):
Pr  0.000  0.000  0.000
Tm  0.500  0.500  0.500
Cu  0.750  0.750  0.750
Sn  0.250  0.250  0.250

=====

[4]
SrPrCu4: relaxed, PBE.

Calculated values
The magnetic moment comes out at 0.00 μB per formula unit. The formation enthalpy at 0 K is -0.71 eV per formula unit. The value obtained for the distance to the lowest polymorph of the same formula is 0 meV per atom. As for the symmetry: No. 47. The value obtained for the total DFT energy (no corrections) is -23.552 eV per cell. The crystal system is orthorhombic.

Unit cell a=4.010 b=4.295 c=7.448 alpha=90.00 beta=90.00 gamma=90.00
Atoms (fractional coordinates):
Sr  0.000  0.000  0.000
Pr  0.000  0.500  0.500
Cu  0.500  0.000  0.337
Cu  0.500  0.000  0.663
Cu  0.500  0.500  0.172
Cu  0.500  0.500  0.828

=====

[5]
SrPrCu2: relaxed, PBE.

Calculated values
The magnetic moment comes out at 0.00 μB per formula unit. The formation enthalpy at 0 K is -0.12 eV per formula unit. The value obtained for the distance to the lowest polymorph of the same formula is 43 meV per atom. As for the symmetry: No. 225. The value obtained for the total DFT energy (no corrections) is -14.777 eV per cell. The crystal system is cubic.

Unit cell a=5.198 b=5.198 c=5.198 alpha=60.00 beta=60.00 gamma=60.00
Atoms (fractional coordinates):
Sr  0.000  0.000  0.000
Pr  0.500  0.500  0.500
Cu  0.250  0.250  0.250
Cu  0.750  0.750  0.750

=====

[6]
SrPr2Cu6: relaxed, PBE.

Calculated values
The magnetic moment comes out at 0.00 μB per formula unit. The formation enthalpy at 0 K is -1.34 eV per formula unit. As for the symmetry: No. 191. The value obtained for the total DFT energy (no corrections) is -37.154 eV per cell. The crystal system is hexagonal.

Unit cell a=7.456 b=7.456 c=3.917 alpha=90.00 beta=90.00 gamma=120.00
Atoms (fractional coordinates):
Sr  0.000  0.000  0.000
Pr  0.333  0.667  0.000
Pr  0.667  0.333  0.000
Cu  0.000  0.336  0.500
Cu  0.000  0.664  0.500
Cu  0.336  0.000  0.500
Cu  0.336  0.336  0.500
Cu  0.664  0.000  0.500
Cu  0.664  0.664  0.500

=====

[7]
SrPrCu2: relaxed, PBE.

Calculated values
The magnetic moment comes out at 0.00 μB per formula unit. The formation enthalpy at 0 K is -0.29 eV per formula unit. The value obtained for the distance to the lowest polymorph of the same formula is 0 meV per atom. As for the symmetry: No. 123. The value obtained for the total DFT energy (no corrections) is -14.948 eV per cell. The crystal system is tetragonal.

Unit cell a=3.713 b=3.713 c=7.402 alpha=90.00 beta=90.00 gamma=90.00
Atoms (fractional coordinates):
Sr  0.000  0.000  0.000
Pr  0.000  0.000  0.500
Cu  0.500  0.500  0.294
Cu  0.500  0.500  0.706

=====

[8]
SrPrCu4: relaxed, PBE.

Calculated values
The magnetic moment comes out at 0.00 μB per formula unit. The formation enthalpy at 0 K is 0.10 eV per formula unit. The value obtained for the distance to the lowest polymorph of the same formula is 135 meV per atom. As for the symmetry: No. 216. The value obtained for the total DFT energy (no corrections) is -22.741 eV per cell. The crystal system is cubic.

Unit cell a=5.455 b=5.455 c=5.455 alpha=60.00 beta=60.00 gamma=60.00
Atoms (fractional coordinates):
Sr  0.000  0.000  0.000
Pr  0.250  0.250  0.250
Cu  0.123  0.626  0.626
Cu  0.626  0.123  0.626
Cu  0.626  0.626  0.123
Cu  0.626  0.626  0.626

=====

Q: The highest formation enthalpy at 0 K belongs to which entry?
A: number 8